[1]
Ti2NbCr2: relaxed, PBE.

total DFT energy (no corrections): -8.7800 eV per atom
density: 6.31 g/cm³
magnetic moment: 1.8 μB per cell
DOS at the Fermi energy: 0.908 states/eV per atom

a = 6.9136 Å, b = 6.9136 Å, c = 3.2237 Å
α = 90.00°, β = 90.00°, γ = 90.00°
Space group P4/mbm (No. 127)
Unique sites:
1 Ti 0.1505 0.3495 0.0000 [4 per cell]
2 Nb 0.0000 0.0000 0.5000 [2 per cell]
3 Cr 0.1486 0.6486 0.5000 [4 per cell]

[2]
Li2Ga3Pt3: relaxed, PBE.

total DFT energy (no corrections): -4.5291 eV per atom
density: 10.78 g/cm³
magnetic moment: 0.0 μB per cell
DOS at the Fermi energy: 0.272 states/eV per atom

a = 13.1077 Å, b = 7.6430 Å, c = 5.0204 Å
α = 90.00°, β = 97.83°, γ = 90.00°
Space group C2/c (No. 15)
Unique sites:
1 Li 0.1708 0.0197 0.0039 [8 per cell]
2 Ga 0.0000 0.2079 0.7500 [4 per cell]
3 Ga 0.1450 0.3568 0.1628 [8 per cell]
4 Pt 0.0000 0.1340 0.2500 [4 per cell]
5 Pt 0.1784 0.3122 0.6707 [8 per cell]

[3]
ZnNi3: relaxed, PBE.

total DFT energy (no corrections): -4.6937 eV per atom
density: 8.71 g/cm³
magnetic moment: 4.0 μB per cell
DOS at the Fermi energy: 1.451 states/eV per atom

a = 2.5525 Å, b = 2.5525 Å, c = 24.4788 Å
α = 90.00°, β = 90.00°, γ = 120.00°
Space group R-3m (No. 166, hexagonal axes)
Unique sites:
1 Zn 0.0000 0.0000 0.0000 [3 per cell]
2 Ni 0.0000 0.0000 0.2483 [6 per cell]
3 Ni 0.0000 0.0000 0.5000 [3 per cell]

[4]
SrCoW2: relaxed, PBE.

total DFT energy (no corrections): -7.5821 eV per atom
density: 11.70 g/cm³
energy above the lowest structure with this stoichiometry: 0.426 eV/atom
magnetic moment: 0.9 μB per cell
DOS at the Fermi energy: 1.079 states/eV per atom

a = 3.0779 Å, b = 4.5345 Å, c = 5.2296 Å
α = 90.00°, β = 90.00°, γ = 90.00°
Space group Pmmm (No. 47)
Unique sites:
1 Sr 0.0000 0.0000 0.0000 [1 per cell]
2 Co 0.5000 0.5000 0.0000 [1 per cell]
3 W 0.0000 0.5000 0.5000 [1 per cell]
4 W 0.5000 0.0000 0.5000 [1 per cell]

Values for E_form, eV/atom, ordered as above
0.2413; -0.6503; -0.0392; 1.0914